Record 1
# Al2ZnS

A relaxed structure of Al2ZnS (PBE, Alexandria via LeMat-Bulk).

Lattice parameters (Å, degrees): 4.588 4.588 4.588 60.00 60.00 60.00
Sites, in units of the cell vectors:
Al 0.250 0.250 0.250
Al 0.750 0.750 0.750
Zn 0.000 0.000 0.000
S 0.500 0.500 0.500

offset from the most stable computed form	100	kJ/mol of formula units
size of the total moment	0.00	μB per formula unit
formation energy from raw total energies	211	meV per atom



Record 2
# CaDy2PaN4

A relaxed structure of CaDy2PaN4 (PBE, Alexandria via LeMat-Bulk).

Lattice parameters (Å, degrees): 5.990 3.514 6.015 90.00 108.59 90.00
Sites, in units of the cell vectors:
Ca 0.000 0.000 0.000
Dy 0.000 0.500 0.500
Dy 0.500 0.000 0.500
Pa 0.500 0.500 0.000
N 0.262 0.000 0.754
N 0.276 0.500 0.245
N 0.724 0.500 0.755
N 0.738 0.000 0.246

size of the total moment	0.00	μB per formula unit
formation energy from raw total energies	-1577	meV per atom



Record 3
# HgRh8

A relaxed structure of HgRh8 (PBE, Alexandria via LeMat-Bulk).

Lattice parameters (Å, degrees): 6.179 6.179 6.179 95.71 95.71 143.23
Sites, in units of the cell vectors:
Hg 0.000 0.000 0.000
Rh 0.000 0.339 0.339
Rh 0.000 0.661 0.661
Rh 0.325 0.325 0.650
Rh 0.325 0.675 0.000
Rh 0.339 0.000 0.339
Rh 0.661 0.000 0.661
Rh 0.675 0.325 0.000
Rh 0.675 0.675 0.350

DFT formation energy	0.12	eV per atom
size of the total moment	0.00	μB per formula unit